[1]
Cr2H3F6: optimized geometry, GGA+U. Values from VASP.

The structure in Quantum ESPRESSO input format:
```
&SYSTEM
  ibrav = 0, nat = 22, ntyp = 3
/
ATOMIC_SPECIES
F 19.00 F.upf
Cr 52.00 Cr.upf
H 1.01 H.upf
CELL_PARAMETERS angstrom
-0.8400 5.6957 2.4688
-4.6753 1.1532 3.9339
3.3854 -0.1607 9.5196
ATOMIC_POSITIONS angstrom
F 0.0201 4.2422 11.8932
F -1.0807 5.2314 10.1370
Cr -0.8379 2.7673 13.5935
F -0.7663 5.5296 4.0262
F 0.1350 2.7197 8.4218
F 0.2882 5.2974 6.1051
H -1.8157 1.2871 10.9640
H -0.5333 4.7321 11.0194
F -1.3637 1.1585 11.8962
F 1.8667 2.3448 9.8783
F -2.2650 3.9685 7.5006
F -3.9967 4.3434 6.0441
H -1.5967 1.9561 4.9029
Cr -0.5469 5.0967 8.0678
Cr -1.2920 3.9208 2.3288
F -1.0492 1.4568 5.7853
F -2.4181 1.3907 9.8173
H 1.0035 2.4993 9.1362
H -0.3143 5.4010 4.9584
F -2.1501 2.4459 4.0292
H -3.1334 4.1888 6.7862
Cr -1.5831 1.5915 7.8545
```

---

[2]
! GGA+U CrH2F, optimized geometry; values from VASP
! Excess energy over the best structure of this formula in the dataset: 0 meV/atom
&SYSTEM
  ibrav = 0, nat = 8, ntyp = 3
/
ATOMIC_SPECIES
H 1.01 H.upf
Cr 52.00 Cr.upf
F 19.00 F.upf
CELL_PARAMETERS angstrom
6.5101 0.0000 0.0000
0.0000 6.5101 0.0000
3.2550 3.2550 1.9584
ATOMIC_POSITIONS angstrom
H 7.1632 4.8826 0.4896
H 8.1376 2.6019 1.4688
Cr 6.5101 3.2550 0.9792
Cr 0.0000 0.0000 0.0000
F 3.2550 6.5101 0.9792
H 4.8826 3.9082 1.4688
H 5.8569 1.6275 0.4896
F 3.2550 3.2550 0.0000

---

Energy
In order: -112.2, -36.3
Unit: eV per cell